1.
# Ca2MgTlNi, optimized geometry, DFT GGA-PBE
data_Ca2MgTlNi
_chemical_formula_sum 'Ca2 Mg1 Tl1 Ni1'
_space_group_name_H-M_alt 'P 4/m m m'
_space_group_IT_number 123
_space_group_name_Hall '-P 4 2'
_cell_length_a 5.3666
_cell_length_b 5.3666
_cell_length_c 5.0203
_cell_angle_alpha 90.00
_cell_angle_beta 90.00
_cell_angle_gamma 90.00
loop_
_atom_site_label
_atom_site_type_symbol
_atom_site_fract_x
_atom_site_fract_y
_atom_site_fract_z
_atom_site_occupancy
Ca1 Ca 0.0000 0.5000 0.0000 1
Mg1 Mg 0.0000 0.0000 0.5000 1
Tl1 Tl 0.5000 0.5000 0.5000 1
Ni1 Ni 0.5000 0.5000 0.0000 1
# **E_tot**: -2.813 eV/atom
# **Density**: 4.22 g/cm³
# **Energy relative to the lowest polymorph listed for this composition**: 33 meV/atom
# **E_form**: -0.06 eV per atom



2.
# CaMg2TlNi, optimized geometry, DFT GGA-PBE
data_CaMg2TlNi
_chemical_formula_sum 'Ca1 Mg2 Tl1 Ni1'
_space_group_name_H-M_alt 'P 4/m m m'
_space_group_IT_number 123
_space_group_name_Hall '-P 4 2'
_cell_length_a 4.9594
_cell_length_b 4.9594
_cell_length_c 5.2223
_cell_angle_alpha 90.00
_cell_angle_beta 90.00
_cell_angle_gamma 90.00
loop_
_atom_site_label
_atom_site_type_symbol
_atom_site_fract_x
_atom_site_fract_y
_atom_site_fract_z
_atom_site_occupancy
Ca1 Ca 0.0000 0.0000 0.0000 1
Mg1 Mg 0.0000 0.5000 0.5000 1
Tl1 Tl 0.5000 0.5000 0.0000 1
Ni1 Ni 0.0000 0.0000 0.5000 1
# **E_tot**: -2.706 eV/atom
# **Density**: 4.55 g/cm³
# **Energy relative to the lowest polymorph listed for this composition**: 49 meV/atom
# **E_form**: -0.04 eV per atom



3.
# CaMg2ZnNi, optimized geometry, DFT GGA-PBE
data_CaMg2ZnNi
_chemical_formula_sum 'Ca1 Mg2 Zn1 Ni1'
_space_group_name_H-M_alt 'P 4/m m m'
_space_group_IT_number 123
_space_group_name_Hall '-P 4 2'
_cell_length_a 4.8376
_cell_length_b 4.8376
_cell_length_c 4.7466
_cell_angle_alpha 90.00
_cell_angle_beta 90.00
_cell_angle_gamma 90.00
loop_
_atom_site_label
_atom_site_type_symbol
_atom_site_fract_x
_atom_site_fract_y
_atom_site_fract_z
_atom_site_occupancy
Ca1 Ca 0.0000 0.0000 0.0000 1
Mg1 Mg 0.0000 0.5000 0.5000 1
Zn1 Zn 0.5000 0.5000 0.0000 1
Ni1 Ni 0.5000 0.5000 0.5000 1
# **E_tot**: -2.532 eV/atom
# **Density**: 3.18 g/cm³
# **E_form**: -0.08 eV per atom



4.
# Ca2MgZn12Ni3, optimized geometry, DFT GGA-PBE
data_Ca2MgZn12Ni3
_chemical_formula_sum 'Ca6 Mg3 Zn36 Ni9'
_space_group_name_H-M_alt 'R -3 m'
_space_group_IT_number 166
_space_group_name_Hall '-R 3 2"'
_cell_length_a 8.2766
_cell_length_b 8.2766
_cell_length_c 20.1153
_cell_angle_alpha 90.00
_cell_angle_beta 90.00
_cell_angle_gamma 120.00
loop_
_atom_site_label
_atom_site_type_symbol
_atom_site_fract_x
_atom_site_fract_y
_atom_site_fract_z
_atom_site_occupancy
Ca1 Ca 0.0000 0.0000 0.0922 1
Mg1 Mg 0.0000 0.0000 0.5000 1
Zn1 Zn 0.0247 0.5123 0.3347 1
Zn2 Zn 0.1031 0.5516 0.8878 1
Ni1 Ni 0.0000 0.5000 0.0000 1
# **E_tot**: -1.947 eV/atom
# **Density**: 4.45 g/cm³
# **E_form**: 0.18 eV per atom



5.
# Ca2MgZnNi, optimized geometry, DFT GGA-PBE
data_Ca2MgZnNi
_chemical_formula_sum 'Ca2 Mg1 Zn1 Ni1'
_space_group_name_H-M_alt 'P 4/m m m'
_space_group_IT_number 123
_space_group_name_Hall '-P 4 2'
_cell_length_a 5.3452
_cell_length_b 5.3452
_cell_length_c 4.6999
_cell_angle_alpha 90.00
_cell_angle_beta 90.00
_cell_angle_gamma 90.00
loop_
_atom_site_label
_atom_site_type_symbol
_atom_site_fract_x
_atom_site_fract_y
_atom_site_fract_z
_atom_site_occupancy
Ca1 Ca 0.0000 0.5000 0.0000 1
Mg1 Mg 0.0000 0.0000 0.5000 1
Zn1 Zn 0.5000 0.5000 0.5000 1
Ni1 Ni 0.5000 0.5000 0.0000 1
# **E_tot**: -2.550 eV/atom
# **Density**: 2.83 g/cm³
# **E_form**: -0.02 eV per atom



6.
# CaMgNpO6, optimized geometry, DFT GGA-PBE
data_CaMgNpO6
_chemical_formula_sum 'Ca2 Mg2 Np2 O12'
_space_group_name_H-M_alt 'P -3 1 c'
_space_group_IT_number 163
_space_group_name_Hall '-P 3 2c'
_cell_length_a 5.4156
_cell_length_b 5.4156
_cell_length_c 9.9681
_cell_angle_alpha 90.00
_cell_angle_beta 90.00
_cell_angle_gamma 120.00
loop_
_atom_site_label
_atom_site_type_symbol
_atom_site_fract_x
_atom_site_fract_y
_atom_site_fract_z
_atom_site_occupancy
Ca1 Ca 0.0000 0.0000 0.0000 1
Mg1 Mg 0.3333 0.6667 0.2500 1
Np1 Np 0.3333 0.6667 0.7500 1
O1 O 0.0136 0.3656 0.6416 1
# **E_tot**: -7.629 eV/atom
# **Density**: 5.21 g/cm³
# **ΔE_f (raw)**: -2486 meV per atom



7.
# Ca3MgNp3Te8, optimized geometry, DFT GGA-PBE
data_Ca3MgNp3Te8
_chemical_formula_sum 'Ca6 Mg2 Np6 Te16'
_space_group_name_H-M_alt 'C 1 2/m 1'
_space_group_IT_number 12
_cell_length_a 15.4267
_cell_length_b 8.8535
_cell_length_c 8.9868
_cell_angle_alpha 90.00
_cell_angle_beta 124.88
_cell_angle_gamma 90.00
loop_
_space_group_symop_operation_xyz
'x,y,z'
'-x,-y,-z'
'-x,y,-z'
'x,-y,z'
'x+1/2,y+1/2,z'
'-x+1/2,-y+1/2,-z'
'-x+1/2,y+1/2,-z'
'x+1/2,-y+1/2,z'
loop_
_atom_site_label
_atom_site_type_symbol
_atom_site_fract_x
_atom_site_fract_y
_atom_site_fract_z
_atom_site_occupancy
Ca1 Ca 0.0000 0.0000 0.0000 1
Ca2 Ca 0.2500 0.2500 0.0000 1
Mg1 Mg 0.0000 0.0000 0.5000 1
Np1 Np 0.0000 0.5000 0.5000 1
Np2 Np 0.2500 0.2500 0.5000 1
Te1 Te 0.0009 0.2431 0.2602 1
Te2 Te 0.2431 0.0000 0.7396 1
Te3 Te 0.2499 0.0000 0.2504 1
# **E_tot**: -5.763 eV/atom
# **Density**: 6.19 g/cm³
# **ΔE_f (raw)**: -993 meV per atom



8.
# CaMgO2, optimized geometry, DFT GGA-PBE
data_CaMgO2
_chemical_formula_sum 'Ca4 Mg4 O8'
_space_group_name_H-M_alt 'I -4 2 d'
_space_group_IT_number 122
_space_group_name_Hall 'I -4 2bw'
_cell_length_a 5.0266
_cell_length_b 5.0266
_cell_length_c 9.4231
_cell_angle_alpha 90.00
_cell_angle_beta 90.00
_cell_angle_gamma 90.00
loop_
_atom_site_label
_atom_site_type_symbol
_atom_site_fract_x
_atom_site_fract_y
_atom_site_fract_z
_atom_site_occupancy
Ca1 Ca 0.0000 0.0000 0.0000 1
Mg1 Mg 0.0000 0.0000 0.5000 1
O1 O 0.2082 0.2500 0.6250 1
# **E_tot**: -6.016 eV/atom
# **Density**: 2.69 g/cm³
# **ΔE_f (raw)**: -2638 meV per atom



9.
# Ca2MgO3, optimized geometry, DFT GGA-PBE
data_Ca2MgO3
_chemical_formula_sum 'Ca8 Mg4 O12'
_space_group_name_H-M_alt 'C 1 2/c 1'
_space_group_IT_number 15
_cell_length_a 10.4110
_cell_length_b 4.7232
_cell_length_c 6.5418
_cell_angle_alpha 90.00
_cell_angle_beta 108.31
_cell_angle_gamma 90.00
loop_
_space_group_symop_operation_xyz
'x,y,z'
'-x,-y,-z'
'-x,y,-z+1/2'
'x,-y,z+1/2'
'x+1/2,y+1/2,z'
'-x+1/2,-y+1/2,-z'
'-x+1/2,y+1/2,-z+1/2'
'x+1/2,-y+1/2,z+1/2'
loop_
_atom_site_label
_atom_site_type_symbol
_atom_site_fract_x
_atom_site_fract_y
_atom_site_fract_z
_atom_site_occupancy
Ca1 Ca 0.1653 0.0000 0.0827 1
Mg1 Mg 0.0000 0.4987 0.2500 1
O1 O 0.0000 0.0013 0.2500 1
O2 O 0.1518 0.5000 0.0759 1
# **E_tot**: -6.203 eV/atom
# **Density**: 3.32 g/cm³
# **ΔE_f (raw)**: -2790 meV per atom



10.
# Ca2MgO, optimized geometry, DFT GGA-PBE
data_Ca2MgO
_chemical_formula_sum 'Ca8 Mg4 O4'
_space_group_name_H-M_alt 'I -4 2 d'
_space_group_IT_number 122
_space_group_name_Hall 'I -4 2bw'
_cell_length_a 6.9545
_cell_length_b 6.9545
_cell_length_c 9.2222
_cell_angle_alpha 90.00
_cell_angle_beta 90.00
_cell_angle_gamma 90.00
loop_
_atom_site_label
_atom_site_type_symbol
_atom_site_fract_x
_atom_site_fract_y
_atom_site_fract_z
_atom_site_occupancy
Ca1 Ca 0.1071 0.2500 0.1250 1
Mg1 Mg 0.0000 0.0000 0.5000 1
O1 O 0.0000 0.0000 0.0000 1
# **E_tot**: -3.962 eV/atom
# **Density**: 1.79 g/cm³
# **ΔE_f (raw)**: -1323 meV per atom
# **Energy relative to the lowest polymorph listed for this composition**: 0 meV/atom



11.
# CaMgO2, optimized geometry, DFT GGA-PBE
data_CaMgO2
_chemical_formula_sum 'Ca4 Mg4 O8'
_space_group_name_H-M_alt 'P n a 21'
_space_group_IT_number 33
_cell_length_a 6.3022
_cell_length_b 7.4547
_cell_length_c 4.8898
_cell_angle_alpha 90.00
_cell_angle_beta 90.00
_cell_angle_gamma 90.00
loop_
_space_group_symop_operation_xyz
'x,y,z'
'-x,-y,z+1/2'
'-x+1/2,y+1/2,z+1/2'
'x+1/2,-y+1/2,z'
loop_
_atom_site_label
_atom_site_type_symbol
_atom_site_fract_x
_atom_site_fract_y
_atom_site_fract_z
_atom_site_occupancy
Ca1 Ca 0.0921 0.1237 0.0000 1
Mg1 Mg 0.0715 0.6256 0.0259 1
O1 O 0.0596 0.6090 0.4425 1
O2 O 0.1033 0.1436 0.4817 1
# **E_tot**: -6.092 eV/atom
# **Density**: 2.79 g/cm³
# **ΔE_f (raw)**: -2714 meV per atom



Copy entry 6 word for word.
# CaMgNpO6, optimized geometry, DFT GGA-PBE
data_CaMgNpO6
_chemical_formula_sum 'Ca2 Mg2 Np2 O12'
_space_group_name_H-M_alt 'P -3 1 c'
_space_group_IT_number 163
_space_group_name_Hall '-P 3 2c'
_cell_length_a 5.4156
_cell_length_b 5.4156
_cell_length_c 9.9681
_cell_angle_alpha 90.00
_cell_angle_beta 90.00
_cell_angle_gamma 120.00
loop_
_atom_site_label
_atom_site_type_symbol
_atom_site_fract_x
_atom_site_fract_y
_atom_site_fract_z
_atom_site_occupancy
Ca1 Ca 0.0000 0.0000 0.0000 1
Mg1 Mg 0.3333 0.6667 0.2500 1
Np1 Np 0.3333 0.6667 0.7500 1
O1 O 0.0136 0.3656 0.6416 1
# **E_tot**: -7.629 eV/atom
# **Density**: 5.21 g/cm³
# **ΔE_f (raw)**: -2486 meV per atom



Which value of E_tot does entry 2 give?
-2.706 eV/atom



Which formula does entry 2 have?
CaMg2TlNi



Among the records above, which one has the highest density?
Ca3MgNp3Te8